[1]
ZrSbTe2: optimized geometry, PBE.

Energy   -4.998 eV/atom
Symmetry   No. 35
Formation energy from raw total energies   -259 meV/atom
N(E_F)   2.6 states/eV/f.u.

Cell: 3.209 3.209 11.673 Å, 90.00 90.00 102.09°
Positions (direct):
Te  0.500  0.500  0.312
Sb  0.500  0.500  0.688
Te  0.000  0.000  0.003
Zr  0.000  0.000  0.496


[2]
ZrSbTe: optimized geometry, PBE.

Energy   -5.102 eV/atom
Symmetry   No. 216
Formation energy from raw total energies   168 meV/atom
N(E_F)   4.4 states/eV/f.u.

Cell: 4.976 4.976 4.976 Å, 60.00 60.00 60.00°
Positions (direct):
Zr  0.000  0.000  0.000
Te  0.750  0.750  0.750
Sb  0.500  0.500  0.500